1.
The following is a DFT calculation (PBE) of a relaxed structure of Zr4CuSN2. Values from VASP.

Values from the calculation:
DFT total energy   -8.5453 eV per atom
Symmetry   P-6m2, No. 187

Cell and atoms, written as Quantum ESPRESSO input:
```
&SYSTEM
  ibrav = 0, nat = 8, ntyp = 4
/
ATOMIC_SPECIES
Zr 91.22 Zr.upf
S 32.06 S.upf
N 14.01 N.upf
Cu 63.55 Cu.upf
ATOMIC_POSITIONS angstrom
Zr 0.000 0.000 4.549
Zr 1.666 0.962 10.697
Zr 0.000 0.000 8.203
Zr 1.666 0.962 2.055
S 1.666 0.962 6.376
N 0.000 1.923 3.261
N 0.000 1.923 9.490
Cu 0.000 0.000 0.000
CELL_PARAMETERS angstrom
3.331 0.000 0.000
-1.666 2.885 0.000
0.000 0.000 12.751
```


2.
The following is a DFT calculation (PBE) of a relaxed structure of BeZn2Ir. Values from VASP.

Values from the calculation:
DFT total energy   -3.9147 eV per atom
Symmetry   F-43m, No. 216

Cell and atoms, written as Quantum ESPRESSO input:
```
&SYSTEM
  ibrav = 0, nat = 4, ntyp = 3
/
ATOMIC_SPECIES
Zn 65.41 Zn.upf
Ir 192.22 Ir.upf
Be 9.01 Be.upf
ATOMIC_POSITIONS angstrom
Zn -0.477 1.905 7.373
Zn 0.000 0.000 0.000
Ir -0.159 0.635 2.458
Be -0.318 1.270 4.916
CELL_PARAMETERS angstrom
0.678 -1.294 3.888
1.267 2.695 2.895
-2.581 1.139 3.048
```


3.
The following is a DFT calculation (PBE) of a relaxed structure of TaAuNO. Values from VASP.

Values from the calculation:
Polymorph energy (0 for the lowest one)   0.701 eV per formula unit
Symmetry   Pca2_1, No. 29

Cell and atoms, written as Quantum ESPRESSO input:
```
&SYSTEM
  ibrav = 0, nat = 16, ntyp = 4
/
ATOMIC_SPECIES
O 16.00 O.upf
Au 196.97 Au.upf
N 14.01 N.upf
Ta 180.95 Ta.upf
ATOMIC_POSITIONS angstrom
O 0.209 0.730 6.334
O 2.932 5.345 0.813
O 0.209 3.768 0.813
O 2.932 2.307 6.334
Au 0.035 0.950 1.425
Au 0.035 3.988 5.722
Au 2.758 5.125 5.722
Au 2.758 2.088 1.425
N 0.844 2.322 4.129
N 3.567 3.753 3.018
N 3.567 0.716 4.129
N 0.844 5.360 3.018
Ta 2.738 5.602 2.596
Ta 2.738 2.564 4.551
Ta 0.014 3.512 2.596
Ta 0.014 0.474 4.551
CELL_PARAMETERS angstrom
5.446 0.000 0.000
0.000 6.076 0.000
0.000 0.000 7.147
```


4.
The following is a DFT calculation (PBE) of a relaxed structure of MgGeMo. Values from VASP.

Values from the calculation:
DFT total energy   -5.3123 eV per atom
Symmetry   F-43m, No. 216

Cell and atoms, written as Quantum ESPRESSO input:
```
&SYSTEM
  ibrav = 0, nat = 3, ntyp = 3
/
ATOMIC_SPECIES
Mo 95.94 Mo.upf
Mg 24.30 Mg.upf
Ge 72.64 Ge.upf
ATOMIC_POSITIONS angstrom
Mo 4.562 4.562 4.562
Mg 1.521 1.521 1.521
Ge 0.000 0.000 0.000
CELL_PARAMETERS angstrom
0.000 3.041 3.041
3.041 0.000 3.041
3.041 3.041 0.000
```


5.
The following is a DFT calculation (PBE) of a relaxed structure of CdHgSO. Values from VASP.

Values from the calculation:
Polymorph energy (0 for the lowest one)   0.175 eV per formula unit
Symmetry   P2_12_12_1, No. 19

Cell and atoms, written as Quantum ESPRESSO input:
```
&SYSTEM
  ibrav = 0, nat = 16, ntyp = 4
/
ATOMIC_SPECIES
S 32.06 S.upf
Hg 200.59 Hg.upf
O 16.00 O.upf
Cd 112.41 Cd.upf
ATOMIC_POSITIONS angstrom
S -6.074 -5.817 1.081
S -2.832 -6.570 -2.457
S -0.210 -4.710 4.382
S -4.139 -2.912 -1.340
Hg -0.406 -1.878 -1.031
Hg -3.419 -5.730 4.036
Hg -6.496 -6.109 -1.247
Hg -2.935 -6.292 -0.091
O -0.492 -3.621 -2.217
O -3.642 -8.641 0.501
O -2.793 -5.131 1.665
O -6.329 -2.616 1.716
Cd -0.868 -4.043 1.910
Cd -4.405 -3.602 1.197
Cd -5.502 -8.327 1.680
Cd -2.482 -4.036 -3.122
CELL_PARAMETERS angstrom
-0.216 -4.652 -4.727
0.496 -5.172 5.067
-6.909 -0.180 0.492
```


6.
The following is a DFT calculation (PBE) of a relaxed structure of Lu2Bi. Values from VASP.

Values from the calculation:
DFT total energy   -4.3950 eV per atom
Symmetry   Fd-3m, No. 227

Cell and atoms, written as Quantum ESPRESSO input:
```
&SYSTEM
  ibrav = 0, nat = 6, ntyp = 2
/
ATOMIC_SPECIES
Bi 208.98 Bi.upf
Lu 174.97 Lu.upf
ATOMIC_POSITIONS angstrom
Bi 0.000 0.000 0.000
Bi -0.009 -3.528 -1.532
Lu -1.824 -6.407 -2.941
Lu -0.022 -8.821 -3.831
Lu 1.013 -5.876 -4.180
Lu 0.762 -7.123 -1.308
CELL_PARAMETERS angstrom
3.603 -4.828 -1.781
-2.070 -5.890 0.698
-1.569 -3.396 -5.046
```


7.
The following is a DFT calculation (PBE) of a relaxed structure of CsAgGeTe2S. Values from VASP.

Values from the calculation:
DFT total energy   -3.3456 eV per atom
Symmetry   Cmcm, No. 63

Cell and atoms, written as Quantum ESPRESSO input:
```
&SYSTEM
  ibrav = 0, nat = 12, ntyp = 5
/
ATOMIC_SPECIES
Ag 107.87 Ag.upf
Te 127.60 Te.upf
S 32.06 S.upf
Ge 72.64 Ge.upf
Cs 132.91 Cs.upf
ATOMIC_POSITIONS angstrom
Ag 1.944 -7.751 2.850
Ag 1.944 7.751 8.549
Te 1.944 6.385 6.121
Te 1.944 -6.385 5.277
Te 1.944 -6.385 0.422
Te 1.944 6.385 10.976
S 1.944 -0.867 2.850
S 1.944 0.867 8.549
Ge 1.944 0.000 0.000
Ge 1.944 0.000 5.699
Cs 1.944 4.564 2.850
Cs 1.944 -4.564 8.549
CELL_PARAMETERS angstrom
1.944 -8.431 0.000
1.944 8.431 0.000
0.000 0.000 11.399
```


8.
The following is a DFT calculation (PBE) of a relaxed structure of GdTmIn2Ir4. Values from VASP.

Values from the calculation:
DFT total energy   -6.6808 eV per atom
Symmetry   P-6m2, No. 187

Cell and atoms, written as Quantum ESPRESSO input:
```
&SYSTEM
  ibrav = 0, nat = 8, ntyp = 4
/
ATOMIC_SPECIES
Gd 157.25 Gd.upf
Ir 192.22 Ir.upf
In 114.82 In.upf
Tm 168.93 Tm.upf
ATOMIC_POSITIONS angstrom
Gd 0.000 0.000 0.000
Ir 0.463 -1.475 2.771
Ir -1.169 -4.813 6.295
Ir -2.080 -1.908 0.837
Ir 0.832 -2.653 4.983
In 0.940 -5.421 4.577
In 0.294 -3.361 0.709
Tm -1.624 -3.360 3.566
CELL_PARAMETERS angstrom
-4.513 -0.266 0.612
2.211 -3.358 -2.157
1.295 -4.129 7.754
```